## Cs6PdI4 (PBE)

Data for a relaxed structure of Cs6PdI4.

Calculated values
Final energy, eV per atom: -2.59
Space group: No. 167

a = 10.8139 Å, b = 10.8139 Å, c = 10.8139 Å
α = 90.72°, β = 90.72°, γ = 89.28°
Last column: nearest neighbours and their distance in Å.
Element x y z (fractional)
1 I 0.7500 0.3726 0.8726  8 Cs 4.07-4.24
2 I 0.8726 0.2500 0.3726  8 Cs 4.07-4.24
3 I 0.3726 0.1274 0.2500  8 Cs 4.07-4.24
4 I 0.7500 0.7500 0.2500  6 Cs 3.89
5 I 0.2500 0.6274 0.1274  8 Cs 4.07-4.24
6 I 0.2500 0.2500 0.7500  6 Cs 3.89
7 I 0.6274 0.8726 0.7500  8 Cs 4.07-4.24
8 I 0.1274 0.7500 0.6274  8 Cs 4.07-4.24
9 Cs 0.0574 0.9279 0.2965  1 Pd 3.36
10 Cs 0.5574 0.2035 0.5721  1 Pd 3.36
11 Cs 0.4426 0.7965 0.4279  1 Pd 3.36
12 Cs 0.7965 0.5721 0.5574  1 Pd 3.36
13 Cs 0.5721 0.4426 0.2035  1 Pd 3.36
14 Cs 0.0721 0.2965 0.0574  1 Pd 3.36
15 Cs 0.9426 0.0721 0.7035  1 Pd 3.36
16 Cs 0.2035 0.4279 0.4426  1 Pd 3.36
17 Cs 0.9279 0.7035 0.9426  1 Pd 3.36
18 Cs 0.7035 0.0574 0.0721  1 Pd 3.36
19 Cs 0.2965 0.9426 0.9279  1 Pd 3.36
20 Cs 0.4279 0.5574 0.7965  1 Pd 3.36
21 Pd 0.5000 0.5000 0.5000  6 Cs 3.36
22 Pd 0.0000 0.0000 0.0000  6 Cs 3.36